Ho6Pt5: relaxed, GGA-PBE.

CIF file:
```
data_Ho6Pt5
_chemical_formula_sum 'Ho12 Pt10'
_cell_length_a 4.876
_cell_length_b 6.944
_cell_length_c 14.734
_cell_angle_alpha 90.00
_cell_angle_beta 90.00
_cell_angle_gamma 90.00
_space_group_name_H-M_alt 'I m m m'
_space_group_IT_number 71
_space_group_name_Hall '-I 2 2'
loop_
_atom_site_label
_atom_site_type_symbol
_atom_site_fract_x
_atom_site_fract_y
_atom_site_fract_z
_atom_site_occupancy
Ho1 Ho 0.000 0.248 0.000 1
Ho2 Ho 0.000 0.251 0.334 1
Pt1 Pt 0.000 0.000 0.173 1
Pt2 Pt 0.000 0.500 0.162 1
Pt3 Pt 0.000 0.500 0.500 1
```

Results
ΔH_f (0 K) (meV/atom): -1151